[1]
Here is a geometry-optimized V2HPdRh structure from Alexandria. Energies are from PBE.

Geometry as POSCAR:
```
V2HPdRh
1.0
-2.252 3.334 1.956
0.486 -2.246 4.388
3.840 2.187 0.694
H Rh Pd V
1 1 1 2
Direct
0.500 0.500 0.500
0.000 0.000 0.000
0.000 0.500 0.000
0.000 0.000 0.500
0.500 0.000 0.000
```

## Properties
Density of states at the Fermi level   7.14 states/eV per cell
Relative energy among the computed polymorphs   1.7848 eV per atom
Space-group type   P4/mmm, No. 123
E   -5.2831 eV/atom



[2]
Here is a geometry-optimized Bi2Pd3Pb2 structure from Alexandria. Energies are from PBE.

Geometry as POSCAR:
```
Bi2Pd3Pb2
1.0
-2.635 0.502 2.600
6.001 -2.152 3.870
1.797 6.065 0.661
Bi Pd Pb
2 3 2
Direct
0.646 0.296 0.928
0.354 0.704 0.072
0.000 0.000 0.000
0.749 0.493 0.326
0.251 0.507 0.674
0.895 0.800 0.609
0.105 0.200 0.391
```

## Properties
Density of states at the Fermi level   3.54 states/eV per cell
Relative energy among the computed polymorphs   0.0289 eV per atom
Space-group type   P-1, No. 2
E   -4.5878 eV/atom
ΔH_f (0 K)   -194 meV/atom



[3]
Here is a geometry-optimized K2HoErTe4 structure from Alexandria. Energies are from PBE.

Geometry as POSCAR:
```
K2HoErTe4
1.0
-0.106 -4.073 -1.849
6.536 1.577 -3.850
2.243 -3.495 7.570
K Ho Er Te
2 1 1 4
Direct
0.500 0.000 0.500
0.000 0.500 0.500
0.500 0.500 0.000
0.000 0.000 0.000
0.500 0.235 0.207
0.500 0.765 0.793
0.000 0.263 0.793
0.000 0.737 0.207
```

## Properties
E_form (uncorrected)   -1.386 eV per atom
Space-group type   P2/m, No. 10
E   -4.3736 eV/atom



[4]
Here is a geometry-optimized SbTe3I structure from Alexandria. Energies are from PBE.

Geometry as POSCAR:
```
SbTe3I
1.0
-0.275 -0.610 -7.679
1.317 -8.458 0.626
-5.992 -0.916 0.284
Sb Te I
2 6 2
Direct
0.152 0.706 0.701
0.652 0.647 0.201
0.405 0.399 0.201
0.437 0.882 0.952
0.937 0.470 0.452
0.906 0.954 0.701
0.936 0.470 0.949
0.436 0.883 0.449
0.447 0.354 0.701
0.947 0.999 0.201
```

## Properties
Density of states at the Fermi level   7.12 states/eV per cell
Relative energy among the computed polymorphs   0.0000 eV per atom
E_form (uncorrected)   0.065 eV per atom
Space-group type   P2_1, No. 4
E   -2.9543 eV/atom



[5]
Here is a geometry-optimized YSI2 structure from Alexandria. Energies are from PBE.

Geometry as POSCAR:
```
YSI2
1.0
2.959 -4.496 -0.158
0.931 -2.771 4.522
-2.340 -4.791 0.752
I Y S
2 1 1
Direct
0.250 0.250 0.250
0.750 0.750 0.750
0.500 0.500 0.500
0.000 0.000 0.000
```

## Properties
Density of states at the Fermi level   2.99 states/eV per cell
E_form (uncorrected)   -0.486 eV per atom
Space-group type   Fm-3m, No. 225
E   -3.9094 eV/atom



[6]
Here is a geometry-optimized CsCu2Bi2Te6 structure from Alexandria. Energies are from PBE.

Geometry as POSCAR:
```
CsCu2Bi2Te6
1.0
9.315 0.089 0.545
4.685 6.363 0.045
0.573 -3.628 7.488
Cs Cu Bi Te
1 2 2 6
Direct
0.500 0.000 0.500
0.152 0.753 0.870
0.848 0.247 0.130
0.884 0.264 0.768
0.116 0.736 0.232
0.364 0.785 0.024
0.091 0.297 0.065
0.246 0.755 0.563
0.909 0.703 0.935
0.754 0.245 0.437
0.636 0.215 0.976
```

## Properties
Density of states at the Fermi level   1.99 states/eV per cell
E_form (uncorrected)   -0.210 eV per atom
Space-group type   P-1, No. 2
E   -3.4516 eV/atom



[7]
Here is a geometry-optimized BeNiCl2 structure from Alexandria. Energies are from PBE.

Geometry as POSCAR:
```
BeNiCl2
1.0
-4.572 -0.792 -4.752
-0.641 -2.905 -5.938
1.875 -0.087 6.371
Ni Be Cl
1 1 2
Direct
0.500 0.500 0.000
0.750 0.250 0.500
0.000 0.000 0.000
0.250 0.750 0.500
```

## Properties
Density of states at the Fermi level   1.88 states/eV per cell
Relative energy among the computed polymorphs   0.6458 eV per atom
E_form (uncorrected)   0.187 eV per atom
Space-group type   I-4m2, No. 119
E   -3.1129 eV/atom



[8]
Here is a geometry-optimized BaFeRe2 structure from Alexandria. Energies are from PBE.

Geometry as POSCAR:
```
BaFeRe2
1.0
5.014 0.000 0.000
0.000 5.014 0.000
2.507 2.507 8.097
Re Ba Fe
4 2 2
Direct
0.375 0.125 0.250
0.375 0.625 0.250
0.375 0.625 0.750
0.875 0.625 0.750
0.000 0.000 0.000
0.750 0.250 0.500
0.500 0.500 0.000
0.250 0.750 0.500
```

## Properties
Density of states at the Fermi level   13.31 states/eV per cell
Relative energy among the computed polymorphs   0.6437 eV per atom
Space-group type   I4_1/amd, No. 141
E   -7.6327 eV/atom
ΔH_f (0 K)   1188 meV/atom



[9]
Here is a geometry-optimized Sr2ZrTaO6 structure from Alexandria. Energies are from PBE.

Geometry as POSCAR:
```
Sr2ZrTaO6
1.0
-0.628 0.263 4.080
0.026 -4.128 0.270
8.158 0.134 1.246
Sr Zr Ta O
2 1 1 6
Direct
0.000 0.000 0.748
0.000 0.000 0.252
0.500 0.500 0.000
0.500 0.500 0.500
0.500 0.000 0.000
0.500 0.000 0.500
0.000 0.500 0.000
0.000 0.500 0.500
0.500 0.500 0.742
0.500 0.500 0.258
```

## Properties
Density of states at the Fermi level   2.93 states/eV per cell
E_form (uncorrected)   -3.013 eV per atom
Space-group type   P4/mmm, No. 123
E   -8.3647 eV/atom



[10]
Here is a geometry-optimized TaHgTe2 structure from Alexandria. Energies are from PBE.

Geometry as POSCAR:
```
TaHgTe2
1.0
-2.680 6.828 -0.238
-10.680 -4.338 -4.196
-1.736 -0.509 4.944
Te Hg Ta
8 4 4
Direct
0.289 0.802 0.062
0.711 0.198 0.562
0.211 0.302 0.562
0.789 0.698 0.062
0.845 0.895 0.562
0.155 0.105 0.062
0.655 0.395 0.062
0.345 0.605 0.562
0.114 0.477 0.062
0.886 0.523 0.562
0.386 0.977 0.562
0.614 0.023 0.062
0.979 0.906 0.062
0.021 0.094 0.562
0.521 0.406 0.562
0.479 0.594 0.062
```

## Properties
Density of states at the Fermi level   2.01 states/eV per cell
E_form (uncorrected)   0.010 eV per atom
Space-group type   Pnma, No. 62
E   -4.5994 eV/atom



[11]
Here is a geometry-optimized La5InPb3 structure from Alexandria. Energies are from PBE.

Geometry as POSCAR:
```
La5InPb3
1.0
6.879 0.000 0.000
0.000 9.962 0.000
0.000 -4.981 8.626
La In Pb
10 2 6
Direct
0.000 0.667 0.333
0.500 0.333 0.667
0.000 0.333 0.667
0.500 0.667 0.333
0.750 0.719 0.719
0.750 0.000 0.281
0.750 0.280 0.000
0.250 0.281 0.281
0.250 0.000 0.719
0.250 0.720 0.000
0.000 0.000 0.000
0.500 0.000 0.000
0.750 0.373 0.373
0.750 0.000 0.627
0.750 0.627 0.000
0.250 0.627 0.627
0.250 0.000 0.373
0.250 0.373 0.000
```

## Properties
Density of states at the Fermi level   24.42 states/eV per cell
Space-group type   P6_3/mcm, No. 193
E   -4.8430 eV/atom
ΔH_f (0 K)   -565 meV/atom



[12]
Here is a geometry-optimized La4Tb2YMg structure from Alexandria. Energies are from PBE.

Geometry as POSCAR:
```
La4Tb2YMg
1.0
-2.137 -4.578 -1.155
3.487 -2.384 2.997
-2.654 -1.498 10.845
La Tb Y Mg
4 2 1 1
Direct
0.000 0.745 0.755
0.000 0.255 0.245
0.500 0.754 0.245
0.500 0.246 0.755
0.000 0.000 0.000
0.500 0.000 0.500
0.000 0.500 0.500
0.500 0.500 0.000
```

## Properties
Density of states at the Fermi level   10.41 states/eV per cell
Space-group type   P4/mmm, No. 123
E   -4.6228 eV/atom
ΔH_f (0 K)   6 meV/atom